1.
The following is a DFT calculation (GGA-PBEsol) of InAs2Ir after structural relaxation.

Cell: 3.927 3.927 4.614 Å, 90.00 90.00 90.00°
Fractional positions:
As  0.500  0.000  0.000
As  0.000  0.500  0.000
In  0.500  0.500  0.500
Ir  0.000  0.000  0.500

Computed properties:
- calculated formation energy (eV/atom) = 0.319
- M_tot (μB per atom) = 0.000
- symmetry = P4/mmm, No. 123

2.
The following is a DFT calculation (GGA-PBEsol) of InAsIr2 after structural relaxation.

Cell: 2.916 2.916 8.818 Å, 90.00 90.00 119.83°
Fractional positions:
In  0.500  0.500  0.000
As  0.500  0.500  0.500
Ir  0.000  0.000  0.262
Ir  0.000  0.000  0.738

Computed properties:
- calculated formation energy (eV/atom) = 0.328
- M_tot (μB per atom) = 0.000
- symmetry = Cmmm, No. 65

What did the second record say?
The following is a DFT calculation (GGA-PBEsol) of InAsIr2 after structural relaxation.

Cell: 2.916 2.916 8.818 Å, 90.00 90.00 119.83°
Fractional positions:
In  0.500  0.500  0.000
As  0.500  0.500  0.500
Ir  0.000  0.000  0.262
Ir  0.000  0.000  0.738

Computed properties:
- calculated formation energy (eV/atom) = 0.328
- M_tot (μB per atom) = 0.000
- symmetry = Cmmm, No. 65